1.
First-principles (GGA-PBE) data for a relaxed structure of CaZnP, as listed in the Alexandria database.

Computed properties:
* formation energy from the elements: -726 meV per atom

```
data_CaZnP
_symmetry_space_group_name_H-M 'P 1'
_symmetry_Int_Tables_number 1
_symmetry_space_group_name_Hall 'P 1'
_cell_length_a 6.983
_cell_length_b 3.928
_cell_length_c 10.322
_cell_angle_alpha 90.00
_cell_angle_beta 122.54
_cell_angle_gamma 90.00
loop_
_atom_site_label
_atom_site_type_symbol
_atom_site_fract_x
_atom_site_fract_y
_atom_site_fract_z
P1 P 0.225 0.500 0.189
P2 P 0.775 0.500 0.811
Zn1 Zn 0.436 0.500 0.849
Ca1 Ca 0.177 0.500 0.445
Zn2 Zn 0.564 0.500 0.151
P3 P 0.775 0.000 0.311
Zn3 Zn 0.564 0.000 0.651
Zn4 Zn 0.436 0.000 0.349
Ca2 Ca 0.823 0.000 0.055
Ca3 Ca 0.177 0.000 0.945
P4 P 0.225 0.000 0.689
Ca4 Ca 0.823 0.500 0.555
```

=====

2.
First-principles (GGA-PBE) data for a relaxed structure of Ca2ZnP2, as listed in the Alexandria database.

Computed properties:
* formation energy from the elements: -522 meV per atom

```
data_Ca2ZnP2
_symmetry_space_group_name_H-M 'P 1'
_symmetry_Int_Tables_number 1
_symmetry_space_group_name_Hall 'P 1'
_cell_length_a 5.262
_cell_length_b 5.262
_cell_length_c 5.980
_cell_angle_alpha 63.90
_cell_angle_beta 63.90
_cell_angle_gamma 90.00
loop_
_atom_site_label
_atom_site_type_symbol
_atom_site_fract_x
_atom_site_fract_y
_atom_site_fract_z
P1 P 0.380 0.380 0.241
P2 P 0.620 0.620 0.759
Zn1 Zn 0.000 0.000 0.000
Ca1 Ca 0.250 0.750 0.500
Ca2 Ca 0.750 0.250 0.500
```

=====

3.
First-principles (GGA-PBE) data for a relaxed structure of CaZn2P2, as listed in the Alexandria database.

Computed properties:
* formation energy from the elements: -537 meV per atom

```
data_CaZn2P2
_symmetry_space_group_name_H-M 'P 1'
_symmetry_Int_Tables_number 1
_symmetry_space_group_name_Hall 'P 1'
_cell_length_a 4.008
_cell_length_b 4.008
_cell_length_c 8.768
_cell_angle_alpha 76.79
_cell_angle_beta 76.79
_cell_angle_gamma 60.00
loop_
_atom_site_label
_atom_site_type_symbol
_atom_site_fract_x
_atom_site_fract_y
_atom_site_fract_z
Zn1 Zn 0.242 0.242 0.274
P1 P 0.591 0.591 0.227
Ca1 Ca 0.000 0.000 0.000
Zn2 Zn 0.758 0.758 0.726
P2 P 0.409 0.409 0.773
```

=====

4.
First-principles (GGA-PBE) data for a relaxed structure of Ca2ZnP2, as listed in the Alexandria database.

Computed properties:
* formation energy from the elements: -656 meV per atom

```
data_Ca2ZnP2
_symmetry_space_group_name_H-M 'P 1'
_symmetry_Int_Tables_number 1
_symmetry_space_group_name_Hall 'P 1'
_cell_length_a 7.259
_cell_length_b 7.259
_cell_length_c 4.057
_cell_angle_alpha 90.00
_cell_angle_beta 90.00
_cell_angle_gamma 90.00
loop_
_atom_site_label
_atom_site_type_symbol
_atom_site_fract_x
_atom_site_fract_y
_atom_site_fract_z
P1 P 0.163 0.337 0.000
Zn1 Zn 0.500 0.500 0.000
Ca1 Ca 0.150 0.650 0.500
P2 P 0.337 0.837 0.000
P3 P 0.837 0.663 0.000
Ca2 Ca 0.850 0.350 0.500
Zn2 Zn 0.000 0.000 0.000
P4 P 0.663 0.163 0.000
Ca3 Ca 0.350 0.150 0.500
Ca4 Ca 0.650 0.850 0.500
```

=====

5.
First-principles (GGA-PBE) data for a relaxed structure of Ca2ZnP, as listed in the Alexandria database.

Computed properties:
* formation energy from the elements: -48 meV per atom
* ΔE to the lowest computed polymorph: 15.552 kcal/mol of atoms

```
data_Ca2ZnP
_symmetry_space_group_name_H-M 'P 1'
_symmetry_Int_Tables_number 1
_symmetry_space_group_name_Hall 'P 1'
_cell_length_a 5.125
_cell_length_b 5.125
_cell_length_c 5.125
_cell_angle_alpha 60.00
_cell_angle_beta 60.00
_cell_angle_gamma 60.00
loop_
_atom_site_label
_atom_site_type_symbol
_atom_site_fract_x
_atom_site_fract_y
_atom_site_fract_z
P1 P 0.500 0.500 0.500
Zn1 Zn 0.750 0.750 0.750
Ca1 Ca 0.000 0.000 0.000
Ca2 Ca 0.250 0.250 0.250
```

=====

6.
First-principles (GGA-PBE) data for a relaxed structure of CaZnP, as listed in the Alexandria database.

Computed properties:
* formation energy from the elements: -764 meV per atom

```
data_CaZnP
_symmetry_space_group_name_H-M 'P 1'
_symmetry_Int_Tables_number 1
_symmetry_space_group_name_Hall 'P 1'
_cell_length_a 4.090
_cell_length_b 7.670
_cell_length_c 6.513
_cell_angle_alpha 43.16
_cell_angle_beta 90.00
_cell_angle_gamma 74.54
loop_
_atom_site_label
_atom_site_type_symbol
_atom_site_fract_x
_atom_site_fract_y
_atom_site_fract_z
P1 P 0.473 0.534 0.801
P2 P 0.121 0.238 0.596
Zn1 Zn 0.914 0.653 0.498
Ca1 Ca 0.418 0.645 0.145
Ca2 Ca 0.177 0.127 0.252
Zn2 Zn 0.681 0.119 0.899
```